1.
20
Lattice="-3.430 -1.894 2.664 5.579 -1.405 6.183 -3.044 13.780 5.879" Properties=species:S:1:pos:R:3 comment="La3SnRh (GGA-PBE, relaxed)" magnetic_moment_mub_per_fu=0.0 formation_energy_ev_per_atom=-0.7230 relative_energy_ev_per_atom=0.0000 crystal_system=orthorhombic dft_energy_ev_per_cell=-119.007 pbc="T T T"
La 0.790 8.426 9.114
La 1.314 0.408 8.302
La -1.805 -1.472 2.950
La 0.910 11.952 11.776
La 3.403 3.560 9.018
La -2.208 10.072 6.425
La -0.424 6.066 5.874
La -4.298 6.920 5.708
La -0.470 4.414 8.853
La 1.481 0.337 4.252
La -2.375 10.143 10.474
La -1.684 2.054 5.613
Sn -0.881 1.804 2.255
Sn -2.344 7.300 8.492
Sn -0.014 8.676 12.471
Sn 1.450 3.180 6.234
Rh -2.946 4.413 5.665
Rh 2.052 6.067 9.061
Rh 1.007 -1.556 6.510
Rh -1.901 12.036 8.216

=====

2.
10
Lattice="8.388 0.000 0.000 0.000 8.802 0.063 -4.194 -3.296 6.549" Properties=species:S:1:pos:R:3 comment="Sr3GeI (GGA-PBE, relaxed)" magnetic_moment_mub_per_fu=0.0 relative_energy_ev_per_atom=0.0000 formation_energy_uncorrected_ev_per_atom=-0.6588 crystal_system=monoclinic dft_energy_ev_per_cell=-29.014 pbc="T T T"
Sr 2.165 0.106 4.109
Sr -2.165 0.106 4.109
Sr 2.029 5.400 2.503
Sr 0.000 1.758 0.791
Sr 6.359 5.400 2.503
Sr 4.194 3.749 5.821
Ge 0.000 -1.043 2.212
Ge 4.194 6.549 4.400
I 4.194 2.411 2.369
I 0.000 3.095 4.243

=====

3.
5
Lattice="-4.867 -2.693 0.586 2.634 -4.194 2.599 -1.954 -0.826 6.666" Properties=species:S:1:pos:R:3 comment="KCa2As2 (GGA-PBE, relaxed)" magnetic_moment_mub_per_fu=0.0 formation_energy_ev_per_atom=-0.6158 relative_energy_ev_per_atom=0.2156 crystal_system=tetragonal dft_energy_ev_per_cell=-17.479 pbc="T T T"
As -3.969 -3.482 4.422
As -0.219 -4.232 5.428
Ca -1.438 -2.441 3.536
Ca -2.750 -5.273 6.314
K 0.000 0.000 0.000

=====

4.
4
Lattice="-2.081 1.208 4.015 -1.424 4.410 0.664 -4.573 0.999 0.058" Properties=species:S:1:pos:R:3 comment="Mn2TlAu (GGA-PBE, relaxed)" magnetic_moment_mub_per_fu=8.0 formation_energy_ev_per_atom=0.2726 relative_energy_ev_per_atom=0.0229 crystal_system=cubic dft_energy_ev_per_cell=-22.893 pbc="T T T"
Tl -4.039 3.308 2.368
Mn -2.020 1.654 1.184
Mn -6.059 4.962 3.553
Au 0.000 0.000 0.000

=====

5.
12
Lattice="3.250 0.000 0.000 0.000 7.377 -0.481 0.000 -2.401 7.876" Properties=species:S:1:pos:R:3 comment="KNbCoN3 (GGA-PBE, relaxed)" magnetic_moment_mub_per_fu=0.0 formation_energy_uncorrected_ev_per_atom=-0.3484 crystal_system=monoclinic dft_energy_ev_per_cell=-90.680 pbc="T T T"
Co 0.813 -0.858 4.712
Co 2.438 5.834 2.684
N 0.813 -0.962 6.608
N 2.438 5.939 0.788
N 0.813 5.063 3.072
N 0.813 1.891 6.619
N 2.438 -0.086 4.324
N 2.438 3.085 0.777
Nb 2.438 0.312 6.761
Nb 0.813 4.664 0.635
K 2.438 3.946 5.650
K 0.813 1.030 1.746

=====

6.
5
Lattice="6.739 0.000 0.000 0.000 5.563 0.000 0.000 0.000 6.739" Properties=species:S:1:pos:R:3 comment="Ba2NaHfTl (GGA-PBE, relaxed)" magnetic_moment_mub_per_fu=1.3 formation_energy_ev_per_atom=0.5134 relative_energy_ev_per_atom=0.0000 crystal_system=tetragonal dft_energy_ev_per_cell=-14.917 pbc="T T T"
Ba 3.369 0.000 0.000
Ba 0.000 0.000 3.369
Hf 0.000 2.782 0.000
Tl 0.000 0.000 0.000
Na 3.369 2.782 3.369

=====

7.
5
Lattice="-5.149 3.681 1.435 -2.953 -3.369 -1.956 -0.484 -2.927 5.772" Properties=species:S:1:pos:R:3 comment="Ba2CuHgCl (GGA-PBE, relaxed)" magnetic_moment_mub_per_fu=0.0 formation_energy_uncorrected_ev_per_atom=-0.5022 crystal_system=tetragonal dft_energy_ev_per_cell=-12.601 pbc="T T T"
Ba -2.575 1.840 0.717
Ba -0.242 -1.464 2.886
Cl -4.293 -1.308 2.625
Hg 0.000 0.000 0.000
Cu -1.477 -1.684 -0.978

=====

8.
4
Lattice="3.045 0.000 0.000 0.000 3.337 -0.002 0.000 0.003 5.947" Properties=species:S:1:pos:R:3 comment="Be2AsCl (GGA-PBE, relaxed)" magnetic_moment_mub_per_fu=0.0 relative_energy_ev_per_atom=0.4874 formation_energy_uncorrected_ev_per_atom=0.0730 crystal_system=orthorhombic dft_energy_ev_per_cell=-13.656 pbc="T T T"
Be 0.000 0.836 5.595
Be 0.000 0.837 3.325
As 1.523 2.505 4.459
Cl 1.523 0.835 1.486

=====

9.
10
Lattice="3.724 0.000 0.000 0.000 7.414 0.000 0.000 0.000 7.414" Properties=species:S:1:pos:R:3 comment="Tm2CdCu2 (GGA-PBE, relaxed)" magnetic_moment_mub_per_fu=0.0 formation_energy_ev_per_atom=-0.3264 crystal_system=tetragonal dft_energy_ev_per_cell=-39.365 pbc="T T T"
Cu 0.000 4.602 6.519
Cu 0.000 2.812 0.895
Cu 0.000 0.895 4.602
Cu 0.000 6.519 2.812
Tm 1.862 2.420 6.127
Tm 1.862 6.127 4.994
Tm 1.862 4.994 1.287
Tm 1.862 1.287 2.420
Cd 0.000 3.707 3.707
Cd 0.000 0.000 0.000

=====

10.
18
Lattice="-3.479 7.822 -0.418 -3.679 3.430 6.939 3.742 6.575 4.027" Properties=species:S:1:pos:R:3 comment="AcGa6Ir2 (GGA-PBE, relaxed)" magnetic_moment_mub_per_fu=0.0 formation_energy_ev_per_atom=-0.0302 crystal_system=cubic dft_energy_ev_per_cell=-80.527 pbc="T T T"
Ga 1.291 7.627 4.588
Ga -2.793 5.896 6.190
Ga -0.058 4.948 5.197
Ga 1.597 3.405 2.076
Ga -0.623 11.931 4.358
Ga -1.650 3.966 0.077
Ga -4.708 10.200 5.960
Ga -3.305 5.508 3.198
Ga -1.740 1.991 3.386
Ga -0.734 9.514 8.406
Ga -2.683 8.313 2.142
Ga 0.032 6.923 1.888
Ir -2.167 6.139 1.110
Ir -2.267 3.943 4.788
Ir -0.427 2.228 1.319
Ir 1.444 5.516 3.332
Ac -2.562 13.370 7.911
Ac -1.708 8.913 5.274

=====

11.
5
Lattice="-4.023 3.058 2.198 -3.155 -4.494 0.478 1.840 -0.813 4.499" Properties=species:S:1:pos:R:3 comment="La2ZnHgIr (GGA-PBE, relaxed)" magnetic_moment_mub_per_fu=0.0 formation_energy_ev_per_atom=-0.4570 relative_energy_ev_per_atom=0.1045 crystal_system=tetragonal dft_energy_ev_per_cell=-22.577 pbc="T T T"
La -1.577 -2.247 0.239
La -2.012 1.529 1.099
Zn 0.920 -0.407 2.250
Ir 0.000 0.000 0.000
Hg -2.669 -1.124 3.588

=====

12.
12
Lattice="3.897 0.000 0.000 0.000 8.017 0.673 0.000 -1.559 10.240" Properties=species:S:1:pos:R:3 comment="Sm3CSeCl (GGA-PBE, relaxed)" magnetic_moment_mub_per_fu=0.7 formation_energy_uncorrected_ev_per_atom=-1.1156 crystal_system=monoclinic dft_energy_ev_per_cell=-70.812 pbc="T T T"
Sm 0.974 4.496 4.171
Sm 0.974 -0.172 9.025
Sm 2.923 6.630 1.888
Sm 0.974 3.393 9.437
Sm 2.923 3.066 1.476
Sm 2.923 1.963 6.742
C 2.923 1.593 9.116
C 0.974 4.865 1.797
Cl 0.974 0.065 6.204
Cl 2.923 6.394 4.709
Se 0.974 0.839 1.684
Se 2.923 5.619 9.230

=====

13.
20
Lattice="7.521 0.000 0.000 3.761 6.514 0.000 3.761 2.171 13.592" Properties=species:S:1:pos:R:3 comment="Sr2HgPdPb6 (GGA-PBE, relaxed)" magnetic_moment_mub_per_fu=0.0 formation_energy_ev_per_atom=-0.1668 crystal_system=trigonal dft_energy_ev_per_cell=-65.553 pbc="T T T"
Sr 3.761 2.171 1.994
Sr 11.282 6.514 11.598
Sr 11.282 6.514 4.573
Sr 3.761 2.171 9.019
Pb 5.350 5.596 8.107
Pb 5.836 5.316 1.438
Pb 7.521 6.289 12.154
Pb 5.350 3.089 5.485
Pb 9.207 5.316 1.438
Pb 9.207 3.369 12.154
Pb 7.521 6.850 5.485
Pb 7.521 2.396 1.438
Pb 9.693 3.089 5.485
Pb 7.521 1.835 8.107
Pb 9.693 5.596 8.107
Pb 5.836 3.369 12.154
Pd 7.521 4.342 6.796
Pd 0.000 0.000 0.000
Hg 7.521 4.342 9.769
Hg 7.521 4.342 3.822

=====

14.
4
Lattice="-1.237 -6.113 5.496 2.242 -5.265 6.030 -0.361 -3.312 7.616" Properties=species:S:1:pos:R:3 comment="HgRhCl2 (GGA-PBE, relaxed)" magnetic_moment_mub_per_fu=1.0 relative_energy_ev_per_atom=0.1020 formation_energy_uncorrected_ev_per_atom=-0.1956 crystal_system=trigonal dft_energy_ev_per_cell=-12.129 pbc="T T T"
Hg 0.316 -7.223 9.412
Cl 0.148 -3.385 4.410
Cl 0.019 -0.444 0.579
Rh 0.481 -10.984 14.312

=====

15.
5
Lattice="4.711 0.000 0.000 0.000 4.711 0.000 0.000 0.000 5.312" Properties=species:S:1:pos:R:3 comment="VAsSeBr2 (GGA-PBE, relaxed)" magnetic_moment_mub_per_fu=0.0 relative_energy_ev_per_atom=0.0000 formation_energy_uncorrected_ev_per_atom=0.2173 crystal_system=tetragonal dft_energy_ev_per_cell=-19.512 pbc="T T T"
As 0.000 0.000 2.656
Br 2.356 0.000 0.000
Br 0.000 2.356 0.000
V 0.000 0.000 0.000
Se 2.356 2.356 2.656

=====

16.
5
Lattice="4.478 0.000 0.000 0.000 4.548 0.000 0.000 0.000 4.478" Properties=species:S:1:pos:R:3 comment="NaSnGe2N (GGA-PBE, relaxed)" magnetic_moment_mub_per_fu=0.0 formation_energy_uncorrected_ev_per_atom=0.3782 crystal_system=tetragonal dft_energy_ev_per_cell=-20.991 pbc="T T T"
Ge 0.000 0.000 2.239
Ge 2.239 0.000 0.000
N 0.000 0.000 0.000
Na 0.000 2.274 0.000
Sn 2.239 2.274 2.239

=====

17.
5
Lattice="-2.131 0.558 -3.929 2.319 -3.444 -1.747 -5.095 -4.508 2.123" Properties=species:S:1:pos:R:3 comment="CsTcIN2 (GGA-PBE, relaxed)" magnetic_moment_mub_per_fu=6.3 relative_energy_ev_per_atom=1.7797 formation_energy_uncorrected_ev_per_atom=2.6670 crystal_system=tetragonal dft_energy_ev_per_cell=-16.085 pbc="T T T"
Tc -2.453 -3.697 -1.777
I -2.548 -2.254 1.061
Cs 0.000 0.000 0.000
N 1.160 -1.722 -0.873
N -1.065 0.279 -1.965

=====

18.
12
Lattice="-1.667 -3.008 6.094 1.462 -3.968 -5.575 6.399 2.266 1.530" Properties=species:S:1:pos:R:3 comment="Ce2DyPu3P6 (GGA-PBE, relaxed)" magnetic_moment_mub_per_fu=16.4 formation_energy_ev_per_atom=-1.3487 crystal_system=monoclinic dft_energy_ev_per_cell=-108.109 pbc="T T T"
Ce -0.624 -3.328 2.202
Ce 0.418 -3.648 -1.683
P 4.089 -3.379 3.463
P 1.490 -4.678 0.784
P 2.105 -1.331 -1.414
P 4.704 -0.032 1.264
P 1.067 -1.012 2.457
P 5.127 -3.697 -0.409
Pu 4.139 -2.675 -2.862
Pu 3.097 -2.355 1.024
Pu 2.055 -2.035 4.910
Dy 0.000 0.000 0.000

=====

19.
10
Lattice="6.445 0.770 -0.384 -1.462 6.324 -0.384 -2.688 -3.827 4.883" Properties=species:S:1:pos:R:3 comment="PaP2Pd2 (GGA-PBE, relaxed)" magnetic_moment_mub_per_fu=0.0 formation_energy_ev_per_atom=-0.6214 crystal_system=monoclinic dft_energy_ev_per_cell=-67.616 pbc="T T T"
Pd -1.025 4.701 1.747
Pd -0.528 1.494 4.189
Pd 2.823 1.773 -0.073
Pd 3.320 -1.434 2.369
Pa -0.482 1.558 1.029
Pa 2.776 1.709 3.087
P 3.712 3.909 0.646
P 1.757 -0.015 1.029
P 0.538 3.281 3.087
P -1.418 -0.642 3.471

=====

20.
32
Lattice="-0.823 -2.694 5.127 -0.897 -7.263 -0.623 5.887 -3.725 2.325" Properties=species:S:1:pos:R:3 comment="DyCrB14 (GGA-PBE, relaxed)" magnetic_moment_mub_per_fu=2.5 formation_energy_ev_per_atom=-0.1627 crystal_system=orthorhombic dft_energy_ev_per_cell=-220.625 pbc="T T T"
Cr 2.943 -1.863 1.163
Cr 2.532 -3.210 3.726
B 2.754 -5.540 4.206
B 4.240 -3.633 2.109
B 2.416 -6.994 1.732
B 4.229 -9.491 2.367
B 0.579 -1.148 1.146
B 0.488 -7.318 3.975
B 4.468 -7.085 5.939
B -0.301 -6.597 0.890
B -0.062 -4.192 4.462
B 4.002 -11.176 3.101
B 0.751 -6.456 2.335
B 1.536 -9.718 5.152
B 3.679 -6.364 2.854
B -0.074 -10.049 4.720
B 3.588 -12.534 5.683
B 2.630 -3.965 1.676
B 2.159 -5.352 2.553
B 0.324 -9.217 1.883
B 3.267 -8.118 2.933
B -0.861 -8.429 4.377
B 3.842 -4.465 4.945
B 1.412 -8.142 2.623
B 3.415 -7.226 4.494
B 5.027 -5.253 2.452
B 0.164 -2.506 3.728
B 0.900 -5.564 3.895
B 1.750 -6.688 5.097
B 2.008 -8.330 4.276
Dy 0.173 -3.874 1.330
Dy 3.994 -9.808 5.499